(1)
A plane-wave DFT calculation with PBE-GGA was carried out for a relaxed structure of Ba2SnGe3.

Summary:
space group	C2/c, No. 15
formation energy	-0.2565	eV per atom
E_tot	-3.87	eV/atom
V	417.4	Å³/cell

abc: 7.4718 7.4718 9.2687
angles: 97.47 121.08 101.44
Last column: nearest neighbours and their distance in Å.
Atoms (fractional coordinates):
Ge 0.4084 0.6327 0.9438  1 Ge 2.65, 1 Sn 2.69
Ba 0.2285 0.3804 0.1932  4 Ge 3.31-3.55, 2 Sn 3.56-3.62
Ge 0.1890 0.4647 0.5562  1 Ge 2.65, 1 Sn 2.69
Ba 0.3127 0.9646 0.6932  4 Ge 3.31-3.55, 2 Sn 3.56-3.62
Ba 0.6873 0.0354 0.3068  4 Ge 3.31-3.55, 2 Sn 3.56-3.62
Ge 0.8110 0.5353 0.4438  1 Ge 2.65, 1 Sn 2.69
Ge 0.7999 0.0499 0.7500  1 Sn 2.50
Sn 0.0639 0.3139 0.7500  3 Ge 2.50-2.69
Ge 0.5916 0.3673 0.0562  1 Ge 2.65, 1 Sn 2.69
Sn 0.9361 0.6861 0.2500  3 Ge 2.50-2.69
Ba 0.7715 0.6196 0.8068  4 Ge 3.31-3.55, 2 Sn 3.56-3.62
Ge 0.2001 0.9501 0.2500  1 Sn 2.50

(2)
A plane-wave DFT calculation with PBE-GGA was carried out for a relaxed structure of Nb3Pb2O10.

Summary:
space group	C2/m, No. 12
E_tot	-7.83	eV/atom
V	426.8	Å³/cell
energy relative to the elements, uncorrected	-2922	kJ/mol of formula units

abc: 6.1162 7.9706 10.0175
angles: 112.23 107.77 90.00
Last column: nearest neighbours and their distance in Å.
Atoms (fractional coordinates):
O 0.7774 0.5000 0.0000  2 Nb 2.17
Pb 0.4104 0.2912 0.8209  3 O 2.51-2.58
Nb 0.8109 0.9608 0.6218  3 O 1.84-2.02
O 0.8691 0.2529 0.7381  2 Nb 1.94-2.14
O 0.8769 0.0169 0.2120  2 Nb 1.98-2.07
Nb 0.9150 0.5183 0.8299  3 O 1.89-1.94
O 0.9027 0.4766 0.2906  1 Nb 1.89
O 0.4801 0.8215 0.9601  2 Nb 2.01
O 0.2327 0.2910 0.4654  1 Nb 1.84
Nb 0.2526 0.0000 0.0000  6 O 1.98-2.07
O 0.5000 0.0000 0.5000  2 Nb 2.02
Nb 0.0850 0.4817 0.1701  3 O 1.89-1.94
O 0.9731 0.8120 0.9461  3 Nb 2.07-2.16
Pb 0.7049 0.3697 0.4099  3 O 2.30-2.48
O 0.3879 0.4766 0.2906  1 Nb 1.89
Nb 0.7474 0.0000 0.0000  6 O 1.98-2.07
O 0.6649 0.9831 0.7880  2 Nb 1.98-2.07
O 0.0269 0.1880 0.0539  3 Nb 2.07-2.16
O 0.1309 0.7471 0.2619  2 Nb 1.94-2.14
O 0.7673 0.7090 0.5346  1 Nb 1.84
Pb 0.2951 0.6303 0.5901  3 O 2.30-2.48
O 0.2226 0.5000 0.0000  2 Nb 2.17
O 0.1231 0.9831 0.7880  2 Nb 1.98-2.07
O 0.6121 0.5234 0.7094  1 Nb 1.89
O 0.5199 0.1785 0.0399  2 Nb 2.01
O 0.0000 0.0000 0.5000  2 Nb 2.02
O 0.0973 0.5234 0.7094  1 Nb 1.89
O 0.3351 0.0169 0.2120  2 Nb 1.98-2.07
Nb 0.1891 0.0392 0.3782  3 O 1.84-2.02
Pb 0.5896 0.7088 0.1791  3 O 2.51-2.58